A plane-wave DFT calculation with PBE was carried out for an optimized crystal structure of PtBrN2.

a b c (Å): 5.8608 5.8608 5.8608
angles (deg): 121.35 121.35 87.68
Positions (direct):
Pt  0.0000  0.0000  0.0000
Pt  0.7500  0.2500  0.5000
Br  0.2500  0.7500  0.5000
Br  0.5000  0.5000  0.0000
N  0.0049  0.6250  0.8799
N  0.3750  0.2549  0.3799
N  0.7451  0.1250  0.1201
N  0.8750  0.9951  0.6201

Output
**Energy relative to the lowest polymorph listed for this composition**: 0.478 eV per atom
**Uncorrected formation energy**: 553.3 kJ/mol of formula units
**Space group**: No. 122

A plane-wave DFT calculation with PBE was carried out for an optimized crystal structure of YTe2PbI.

a b c (Å): 5.9019 5.9019 5.7949
angles (deg): 90.00 90.00 90.00
Positions (direct):
Y  0.0000  0.0000  0.0000
Te  0.0000  0.5000  0.5000
Te  0.5000  0.0000  0.5000
Pb  0.5000  0.5000  0.5000
I  0.5000  0.5000  0.0000

Output
**Energy relative to the lowest polymorph listed for this composition**: 0.580 eV per atom
**Uncorrected formation energy**: 35.8 kJ/mol of formula units
**Space group**: No. 123

A plane-wave DFT calculation with PBE was carried out for an optimized crystal structure of Cu4SCl2O.

a b c (Å): 7.1598 6.3254 6.0811
angles (deg): 90.00 90.00 90.00
Positions (direct):
Cu  0.0000  0.0939  0.0000
Cu  0.0000  0.8771  0.4469
Cu  0.2331  0.6925  0.0441
Cu  0.2669  0.3075  0.5441
Cu  0.5000  0.1229  0.9469
Cu  0.5000  0.9061  0.5000
Cu  0.7331  0.3075  0.5441
Cu  0.7669  0.6925  0.0441
S  0.0000  0.1620  0.6467
S  0.5000  0.8380  0.1467
Cl  0.2495  0.6693  0.6419
Cl  0.2505  0.3307  0.1419
Cl  0.7495  0.3307  0.1419
Cl  0.7505  0.6693  0.6419
O  0.0000  0.8194  0.1382
O  0.5000  0.1806  0.6382

Output
**Uncorrected formation energy**: -287.8 kJ/mol of formula units
**Space group**: No. 31

A plane-wave DFT calculation with PBE was carried out for an optimized crystal structure of LiBeZnPtI.

a b c (Å): 8.6488 8.6488 8.6488
angles (deg): 157.02 156.60 33.03
Positions (direct):
Li  0.0000  0.0000  0.0000
Be  0.6366  0.1366  0.5000
Zn  0.2529  0.2529  0.0000
Pt  0.1406  0.6406  0.5000
I  0.4135  0.4135  0.0000

Output
**Energy relative to the lowest polymorph listed for this composition**: 0.198 eV per atom
**Uncorrected formation energy**: -124.6 kJ/mol of formula units
**Space group**: No. 44

A plane-wave DFT calculation with PBE was carried out for an optimized crystal structure of ScIr3.

a b c (Å): 4.7528 4.7528 2.8515
angles (deg): 90.00 90.00 107.62
Positions (direct):
Sc  0.0000  0.0000  0.0000
Ir  0.0000  0.5000  0.5000
Ir  0.5000  0.0000  0.5000
Ir  0.5000  0.5000  0.0000

Output
**Formation enthalpy at 0 K**: -0.513 eV per atom
**Space group**: No. 65

A plane-wave DFT calculation with PBE was carried out for an optimized crystal structure of Mn2BeCu.

a b c (Å): 3.9642 3.9642 3.9642
angles (deg): 60.00 60.00 60.00
Positions (direct):
Mn  0.0000  0.0000  0.0000
Mn  0.2500  0.2500  0.2500
Be  0.5000  0.5000  0.5000
Cu  0.7500  0.7500  0.7500

Output
**Formation enthalpy at 0 K**: 0.063 eV per atom
**Space group**: No. 216

A plane-wave DFT calculation with PBE was carried out for an optimized crystal structure of PPt4.

a b c (Å): 4.7282 4.7282 4.7282
angles (deg): 104.38 104.38 120.23
Positions (direct):
P  0.0000  0.0000  0.0000
Pt  0.1820  0.3518  0.5338
Pt  0.3518  0.8180  0.1697
Pt  0.6482  0.1820  0.8303
Pt  0.8180  0.6482  0.4662

Output
**Energy relative to the lowest polymorph listed for this composition**: 0.107 eV per atom
**Formation enthalpy at 0 K**: -0.039 eV per atom
**Space group**: No. 87

A plane-wave DFT calculation with PBE was carried out for an optimized crystal structure of Ce2Pm2Ru3.

a b c (Å): 4.0954 6.1225 7.3167
angles (deg): 83.59 73.84 70.47
Positions (direct):
Ce  0.1939  0.2126  0.3992
Ce  0.8061  0.7874  0.6008
Pm  0.4215  0.2802  0.8764
Pm  0.5785  0.7198  0.1236
Ru  0.1699  0.8367  0.8228
Ru  0.5000  0.5000  0.5000
Ru  0.8301  0.1633  0.1772

Output
**Energy relative to the lowest polymorph listed for this composition**: 0.000 eV per atom
**Formation enthalpy at 0 K**: -0.356 eV per atom
**Space group**: No. 2

A plane-wave DFT calculation with PBE was carried out for an optimized crystal structure of CsNaSr2Cu.

a b c (Å): 6.1477 6.1477 6.4149
angles (deg): 90.00 90.00 90.00
Positions (direct):
Cs  0.0000  0.0000  0.0000
Na  0.5000  0.5000  0.0000
Sr  0.0000  0.5000  0.5000
Sr  0.5000  0.0000  0.5000
Cu  0.5000  0.5000  0.5000

Output
**Energy relative to the lowest polymorph listed for this composition**: 0.000 eV per atom
**Formation enthalpy at 0 K**: 0.139 eV per atom
**Space group**: No. 123

A plane-wave DFT calculation with PBE was carried out for an optimized crystal structure of PuIn2F11.

a b c (Å): 8.3946 8.3946 8.3946
angles (deg): 125.32 105.52 98.88
Positions (direct):
Pu  0.2500  0.2500  0.0000
Pu  0.7500  0.7500  0.0000
In  0.1794  0.6322  0.8117
In  0.3206  0.1322  0.4528
In  0.6794  0.8678  0.5472
In  0.8206  0.3678  0.1883
F  0.0000  0.5000  0.5000
F  0.0247  0.9470  0.2590
F  0.0717  0.3694  0.1540
F  0.1880  0.4470  0.9223
F  0.2154  0.9177  0.8460
F  0.2188  0.3640  0.5827
F  0.2812  0.8640  0.1452
F  0.2846  0.1306  0.7022
F  0.3120  0.2343  0.2590
F  0.4283  0.5823  0.2978
F  0.4753  0.7343  0.9223
F  0.5000  0.0000  0.5000
F  0.5247  0.2657  0.0777
F  0.5717  0.4177  0.7022
F  0.6880  0.7657  0.7410
F  0.7154  0.8694  0.2978
F  0.7188  0.1360  0.8548
F  0.7812  0.6360  0.4173
F  0.7846  0.0823  0.1540
F  0.8120  0.5530  0.0777
F  0.9283  0.6306  0.8460
F  0.9753  0.0530  0.7410

Output
**Uncorrected formation energy**: -3595.5 kJ/mol of formula units
**Space group**: No. 72

A plane-wave DFT calculation with PBE was carried out for an optimized crystal structure of Th2Ir7.

a b c (Å): 13.6775 13.6775 13.6775
angles (deg): 22.57 22.57 22.57
Positions (direct):
Th  0.0495  0.0495  0.0495
Th  0.1468  0.1468  0.1468
Th  0.8532  0.8532  0.8532
Th  0.9505  0.9505  0.9505
Ir  0.0000  0.5000  0.5000
Ir  0.1085  0.6103  0.6103
Ir  0.2779  0.2779  0.2779
Ir  0.3888  0.3888  0.3888
Ir  0.3897  0.3897  0.8915
Ir  0.3897  0.8915  0.3897
Ir  0.5000  0.0000  0.5000
Ir  0.5000  0.5000  0.0000
Ir  0.5000  0.5000  0.5000
Ir  0.6103  0.1085  0.6103
Ir  0.6103  0.6103  0.1085
Ir  0.6112  0.6112  0.6112
Ir  0.7221  0.7221  0.7221
Ir  0.8915  0.3897  0.3897

Output
**Formation enthalpy at 0 K**: -0.606 eV per atom
**Space group**: No. 166

A plane-wave DFT calculation with PBE was carried out for an optimized crystal structure of MgGa.

a b c (Å): 4.8158 8.0066 8.0066
angles (deg): 22.73 90.00 90.00
Positions (direct):
Mg  0.0000  0.0000  0.0000
Mg  0.0000  0.3304  0.3304
Mg  0.5000  0.5585  0.5585
Ga  0.0000  0.6666  0.6666
Ga  0.5000  0.2216  0.2216
Ga  0.5000  0.8922  0.8922

Output
**Formation enthalpy at 0 K**: -0.080 eV per atom
**Space group**: No. 38

A plane-wave DFT calculation with PBE was carried out for an optimized crystal structure of PrPuCo5.

a b c (Å): 8.4458 4.9430 10.4081
angles (deg): 90.00 90.00 90.00
Positions (direct):
Pr  0.2477  0.2500  0.0669
Pr  0.2523  0.7500  0.5669
Pr  0.7477  0.2500  0.4331
Pr  0.7523  0.7500  0.9331
Pu  0.1294  0.2500  0.3737
Pu  0.3706  0.7500  0.8737
Pu  0.6294  0.2500  0.1263
Pu  0.8706  0.7500  0.6263
Co  0.0488  0.2500  0.6122
Co  0.0627  0.7500  0.0131
Co  0.0696  0.0031  0.8129
Co  0.0696  0.4969  0.8129
Co  0.1883  0.7500  0.2386
Co  0.3117  0.2500  0.7386
Co  0.4304  0.5031  0.3129
Co  0.4304  0.9969  0.3129
Co  0.4373  0.2500  0.5131
Co  0.4512  0.7500  0.1122
Co  0.5488  0.2500  0.8878
Co  0.5627  0.7500  0.4869
Co  0.5696  0.0031  0.6871
Co  0.5696  0.4969  0.6871
Co  0.6883  0.7500  0.2614
Co  0.8117  0.2500  0.7614
Co  0.9304  0.5031  0.1871
Co  0.9304  0.9969  0.1871
Co  0.9373  0.2500  0.9869
Co  0.9512  0.7500  0.3878

Output
**Formation enthalpy at 0 K**: -0.043 eV per atom
**Space group**: No. 62

A plane-wave DFT calculation with PBE was carried out for an optimized crystal structure of Sm12Tm3Mg.

a b c (Å): 5.0526 5.0526 20.3011
angles (deg): 90.00 90.00 90.00
Positions (direct):
Sm  0.0000  0.0000  0.0000
Sm  0.0000  0.0000  0.2470
Sm  0.0000  0.0000  0.5000
Sm  0.0000  0.0000  0.7530
Sm  0.0000  0.5000  0.1236
Sm  0.0000  0.5000  0.3743
Sm  0.0000  0.5000  0.6257
Sm  0.0000  0.5000  0.8764
Sm  0.5000  0.0000  0.1236
Sm  0.5000  0.0000  0.3743
Sm  0.5000  0.0000  0.6257
Sm  0.5000  0.0000  0.8764
Tm  0.5000  0.5000  0.2484
Tm  0.5000  0.5000  0.5000
Tm  0.5000  0.5000  0.7516
Mg  0.5000  0.5000  0.0000

Output
**Formation enthalpy at 0 K**: 0.015 eV per atom
**Space group**: No. 123

A plane-wave DFT calculation with PBE was carried out for an optimized crystal structure of SmHo2Zn.

a b c (Å): 10.5207 10.5207 10.5207
angles (deg): 19.53 19.53 19.53
Positions (direct):
Sm  0.0000  0.0000  0.0000
Ho  0.2385  0.2385  0.2385
Ho  0.7615  0.7615  0.7615
Zn  0.5000  0.5000  0.5000

Output
**Energy relative to the lowest polymorph listed for this composition**: 0.092 eV per atom
**Formation enthalpy at 0 K**: -0.072 eV per atom
**Space group**: No. 166

A plane-wave DFT calculation with PBE was carried out for an optimized crystal structure of PaNb2H8.

a b c (Å): 4.4330 4.4330 5.1470
angles (deg): 90.00 90.00 90.00
Positions (direct):
Pa  0.0000  0.0000  0.0000
Nb  0.0000  0.5000  0.5000
Nb  0.5000  0.0000  0.5000
H  0.2723  0.2723  0.2751
H  0.2723  0.2723  0.7249
H  0.2723  0.7277  0.2751
H  0.2723  0.7277  0.7249
H  0.7277  0.2723  0.2751
H  0.7277  0.2723  0.7249
H  0.7277  0.7277  0.2751
H  0.7277  0.7277  0.7249

Output
**Energy relative to the lowest polymorph listed for this composition**: 0.000 eV per atom
**Space group**: No. 123

A plane-wave DFT calculation with PBE was carried out for an optimized crystal structure of NaTb2Te.

a b c (Å): 11.3558 11.3558 11.3558
angles (deg): 19.93 19.93 19.93
Positions (direct):
Na  0.0000  0.0000  0.0000
Tb  0.1069  0.1069  0.1069
Tb  0.8931  0.8931  0.8931
Te  0.5000  0.5000  0.5000

Output
**Uncorrected formation energy**: -111.3 kJ/mol of formula units
**Space group**: No. 166

A plane-wave DFT calculation with PBE was carried out for an optimized crystal structure of TiNb3W.

a b c (Å): 3.2648 5.4015 10.4001
angles (deg): 89.95 89.83 72.49
Positions (direct):
Ti  0.0498  0.4009  0.1561
Ti  0.9502  0.5991  0.8439
Nb  0.1464  0.2076  0.4485
Nb  0.2406  0.0187  0.7481
Nb  0.3473  0.8056  0.0514
Nb  0.6527  0.1944  0.9486
Nb  0.7594  0.9813  0.2519
Nb  0.8536  0.7924  0.5515
W  0.4523  0.5954  0.3508
W  0.5477  0.4046  0.6492

Output
**Energy relative to the lowest polymorph listed for this composition**: 0.000 eV per atom
**Formation enthalpy at 0 K**: -0.001 eV per atom
**Space group**: No. 2

A plane-wave DFT calculation with PBE was carried out for an optimized crystal structure of Tb5PmDy.

a b c (Å): 6.7843 6.7843 12.2498
angles (deg): 107.78 107.78 59.83
Positions (direct):
Tb  0.0863  0.3512  0.7460
Tb  0.0888  0.9112  0.7500
Tb  0.1552  0.6868  0.9995
Tb  0.3132  0.8448  0.5005
Tb  0.3512  0.0863  0.2460
Tb  0.6488  0.9137  0.7540
Tb  0.6868  0.1552  0.4995
Tb  0.8448  0.3132  0.0005
Tb  0.9112  0.0888  0.2500
Tb  0.9137  0.6488  0.2540
Pm  0.4707  0.5293  0.2500
Pm  0.5293  0.4707  0.7500
Dy  0.0000  0.5000  0.5000
Dy  0.5000  0.0000  0.0000

Output
**Energy relative to the lowest polymorph listed for this composition**: 0.000 eV per atom
**Formation enthalpy at 0 K**: 0.186 eV per atom
**Space group**: No. 15

A plane-wave DFT calculation with PBE was carried out for an optimized crystal structure of PrSm5Tm2.

a b c (Å): 7.2100 14.4205 5.0798
angles (deg): 90.00 90.00 90.00
Positions (direct):
Pr  0.0000  0.0000  0.0000
Pr  0.5000  0.5000  0.0000
Sm  0.0000  0.5000  0.0000
Sm  0.0011  0.2508  0.0000
Sm  0.2486  0.6256  0.5000
Sm  0.2514  0.1256  0.5000
Sm  0.4989  0.7508  0.0000
Sm  0.5000  0.0000  0.0000
Sm  0.5011  0.2492  0.0000
Sm  0.7486  0.8744  0.5000
Sm  0.7514  0.3744  0.5000
Sm  0.9989  0.7492  0.0000
Tm  0.2504  0.3745  0.5000
Tm  0.2496  0.8745  0.5000
Tm  0.7504  0.1255  0.5000
Tm  0.7496  0.6255  0.5000

Output
**Energy relative to the lowest polymorph listed for this composition**: 0.000 eV per atom
**Formation enthalpy at 0 K**: 0.016 eV per atom
**Space group**: No. 55

A plane-wave DFT calculation with PBE was carried out for an optimized crystal structure of SrMnCoSe2.

a b c (Å): 5.6536 5.6536 4.9528
angles (deg): 90.00 90.00 90.00
Positions (direct):
Sr  0.0000  0.0000  0.0000
Mn  0.5000  0.5000  0.5000
Co  0.0000  0.0000  0.5000
Se  0.0000  0.5000  0.0000
Se  0.5000  0.0000  0.0000

Output
**Uncorrected formation energy**: 485.1 kJ/mol of formula units
**Space group**: No. 123

A plane-wave DFT calculation with PBE was carried out for an optimized crystal structure of MgHg2Bi2.

a b c (Å): 7.9841 7.9841 4.6105
angles (deg): 90.00 90.00 90.00
Positions (direct):
Mg  0.0000  0.0000  0.0000
Mg  0.5000  0.5000  0.0000
Hg  0.1601  0.3399  0.5000
Hg  0.3399  0.8399  0.5000
Hg  0.6601  0.1601  0.5000
Hg  0.8399  0.6601  0.5000
Bi  0.1459  0.6459  0.0000
Bi  0.3541  0.1459  0.0000
Bi  0.6459  0.8541  0.0000
Bi  0.8541  0.3541  0.0000

Output
**Energy relative to the lowest polymorph listed for this composition**: 0.007 eV per atom
**Formation enthalpy at 0 K**: 0.079 eV per atom
**Space group**: No. 127

Across the entries above, total magnetization takes the values 0.000; 0.009; 0.000; 0.000; 0.000; 0.257; 0.000; 0.000; 0.000; 0.214; 0.000; 0.000; 0.077; 0.000; 0.000; 0.060; 0.000; 0.000; 0.000; 0.000; 0.547; 0.000 μB per atom, respectively.